*i*
# Pm7Pr2Dy

An optimized crystal structure of Pm7Pr2Dy (GGA-PBE, the Alexandria database).

```
data_Pm7Pr2Dy
_chemical_formula_sum 'Pm14 Pr4 Dy2'
_symmetry_space_group_name_H-M 'C m m m'
_symmetry_Int_Tables_number 65
_symmetry_space_group_name_Hall '-C 2 2'
_cell_length_a 12.0241
_cell_length_b 16.8769
_cell_length_c 3.5701
_cell_angle_alpha 90.00
_cell_angle_beta 90.00
_cell_angle_gamma 90.00
loop_
_atom_site_label
_atom_site_type_symbol
_atom_site_fract_x
_atom_site_fract_y
_atom_site_fract_z
Pm1 Pm 0.0000 0.0000 0.0000
Pm2 Pm 0.0000 0.1747 0.5000
Pm3 Pm 0.2453 0.1253 0.0000
Pr1 Pr 0.0000 0.3288 0.0000
Dy1 Dy 0.0000 0.5000 0.5000
```



*ii*
# Pm7Pr2Dy

An optimized crystal structure of Pm7Pr2Dy (GGA-PBE, the Alexandria database).

```
data_Pm7Pr2Dy
_chemical_formula_sum 'Pm14 Pr4 Dy2'
_symmetry_space_group_name_H-M 'C m m m'
_symmetry_Int_Tables_number 65
_symmetry_space_group_name_Hall '-C 2 2'
_cell_length_a 6.7429
_cell_length_b 29.4784
_cell_length_c 3.4990
_cell_angle_alpha 90.00
_cell_angle_beta 90.00
_cell_angle_gamma 90.00
loop_
_atom_site_label
_atom_site_type_symbol
_atom_site_fract_x
_atom_site_fract_y
_atom_site_fract_z
Pm1 Pm 0.0000 0.0000 0.0000
Pm2 Pm 0.0000 0.3122 0.5000
Pm3 Pm 0.2441 0.4021 0.0000
Pr1 Pr 0.0000 0.2044 0.0000
Dy1 Dy 0.0000 0.5000 0.5000
```



The winner here is *ii*, beating the second structure by 233 meV/atom.



*i*
# PmPr2Dy8

An optimized crystal structure of PmPr2Dy8 (GGA-PBE, the Alexandria database).

```
data_PmPr2Dy8
_chemical_formula_sum 'Pm2 Pr4 Dy16'
_symmetry_space_group_name_H-M 'I m m m'
_symmetry_Int_Tables_number 71
_symmetry_space_group_name_Hall '-I 2 2'
_cell_length_a 5.5611
_cell_length_b 8.1563
_cell_length_c 16.0602
_cell_angle_alpha 90.00
_cell_angle_beta 90.00
_cell_angle_gamma 90.00
loop_
_atom_site_label
_atom_site_type_symbol
_atom_site_fract_x
_atom_site_fract_y
_atom_site_fract_z
Pm1 Pm 0.0000 0.0000 0.0000
Pr1 Pr 0.0000 0.0000 0.2994
Dy1 Dy 0.0000 0.2066 0.5000
Dy2 Dy 0.0000 0.2927 0.1372
Dy3 Dy 0.0000 0.5000 0.3398
```



*ii*
# PmPr2Dy8

An optimized crystal structure of PmPr2Dy8 (GGA-PBE, the Alexandria database).

```
data_PmPr2Dy8
_chemical_formula_sum 'Pm2 Pr4 Dy16'
_symmetry_space_group_name_H-M 'C 1 2/m 1'
_symmetry_Int_Tables_number 12
_cell_length_a 18.9997
_cell_length_b 7.0518
_cell_length_c 5.5984
_cell_angle_alpha 90.00
_cell_angle_beta 92.79
_cell_angle_gamma 90.00
loop_
_symmetry_equiv_pos_as_xyz
'x,y,z'
'-x,-y,-z'
'-x,y,-z'
'x,-y,z'
'x+1/2,y+1/2,z'
'-x+1/2,-y+1/2,-z'
'-x+1/2,y+1/2,-z'
'x+1/2,-y+1/2,z'
loop_
_atom_site_label
_atom_site_type_symbol
_atom_site_fract_x
_atom_site_fract_y
_atom_site_fract_z
Pm1 Pm 0.0000 0.0000 0.0000
Pr1 Pr 0.2156 0.5000 0.2528
Dy1 Dy 0.0454 0.5000 0.2375
Dy2 Dy 0.1296 0.2666 0.7332
Dy3 Dy 0.1854 0.0000 0.2330
```



The winner here is *i*, beating the second structure by 48 meV/atom.



*i*
# Pm4Pr4Dy

An optimized crystal structure of Pm4Pr4Dy (GGA-PBE, the Alexandria database).

```
data_Pm4Pr4Dy
_chemical_formula_sum 'Pm4 Pr4 Dy1'
_symmetry_space_group_name_H-M 'P -1'
_symmetry_Int_Tables_number 2
_cell_length_a 3.7951
_cell_length_b 6.9834
_cell_length_c 12.9342
_cell_angle_alpha 100.46
_cell_angle_beta 98.43
_cell_angle_gamma 105.77
loop_
_symmetry_equiv_pos_as_xyz
'x,y,z'
'-x,-y,-z'
loop_
_atom_site_label
_atom_site_type_symbol
_atom_site_fract_x
_atom_site_fract_y
_atom_site_fract_z
Pm1 Pm 0.1114 0.2486 0.4702
Pm2 Pm 0.3110 0.8418 0.2786
Pr1 Pr 0.1602 0.9326 0.8913
Pr2 Pr 0.4041 0.5834 0.7278
Dy1 Dy 0.5000 0.5000 0.0000
```



*ii*
# Pm4Pr4Dy

An optimized crystal structure of Pm4Pr4Dy (GGA-PBE, the Alexandria database).

```
data_Pm4Pr4Dy
_chemical_formula_sum 'Pm8 Pr8 Dy2'
_symmetry_space_group_name_H-M 'I 4/m m m'
_symmetry_Int_Tables_number 139
_symmetry_space_group_name_Hall '-I 4 2'
_cell_length_a 11.0041
_cell_length_b 11.0041
_cell_length_c 5.1821
_cell_angle_alpha 90.00
_cell_angle_beta 90.00
_cell_angle_gamma 90.00
loop_
_atom_site_label
_atom_site_type_symbol
_atom_site_fract_x
_atom_site_fract_y
_atom_site_fract_z
Pm1 Pm 0.0000 0.3335 0.0000
Pr1 Pr 0.1660 0.1660 0.5000
Dy1 Dy 0.0000 0.0000 0.0000
```



The winner here is *ii*, beating the second structure by 93 meV/atom.



*i*
# PmPrDy3

An optimized crystal structure of PmPrDy3 (GGA-PBE, the Alexandria database).

```
data_PmPrDy3
_chemical_formula_sum 'Pm4 Pr4 Dy12'
_symmetry_space_group_name_H-M 'C 1 2/m 1'
_symmetry_Int_Tables_number 12
_cell_length_a 22.7505
_cell_length_b 3.5759
_cell_length_c 8.7438
_cell_angle_alpha 90.00
_cell_angle_beta 109.84
_cell_angle_gamma 90.00
loop_
_symmetry_equiv_pos_as_xyz
'x,y,z'
'-x,-y,-z'
'-x,y,-z'
'x,-y,z'
'x+1/2,y+1/2,z'
'-x+1/2,-y+1/2,-z'
'-x+1/2,y+1/2,-z'
'x+1/2,-y+1/2,z'
loop_
_atom_site_label
_atom_site_type_symbol
_atom_site_fract_x
_atom_site_fract_y
_atom_site_fract_z
Pm1 Pm 0.1318 0.0000 0.2293
Pr1 Pr 0.0789 0.5000 0.5236
Dy1 Dy 0.0315 0.0000 0.8240
Dy2 Dy 0.1775 0.5000 0.9363
Dy3 Dy 0.2266 0.0000 0.6466
```



*ii*
# PmPrDy3

An optimized crystal structure of PmPrDy3 (GGA-PBE, the Alexandria database).

```
data_PmPrDy3
_chemical_formula_sum 'Pm2 Pr2 Dy6'
_symmetry_space_group_name_H-M 'P -1'
_symmetry_Int_Tables_number 2
_cell_length_a 6.5367
_cell_length_b 6.5528
_cell_length_c 9.6382
_cell_angle_alpha 90.36
_cell_angle_beta 108.76
_cell_angle_gamma 119.75
loop_
_symmetry_equiv_pos_as_xyz
'x,y,z'
'-x,-y,-z'
loop_
_atom_site_label
_atom_site_type_symbol
_atom_site_fract_x
_atom_site_fract_y
_atom_site_fract_z
Pm1 Pm 0.2072 0.0586 0.1907
Pr1 Pr 0.5000 0.0000 0.0000
Pr2 Pr 0.5000 0.5000 0.5000
Dy1 Dy 0.0512 0.4855 0.1879
Dy2 Dy 0.1919 0.8474 0.5453
Dy3 Dy 0.3679 0.3596 0.8128
```



The winner here is *i*, beating the second structure by 103 meV/atom.